Density functional theory data (PBE) for a geometry-optimized ScCuOs2 structure.

Summary:
The value obtained for the density is 13.56 Mg/m³. The value obtained for the energy of formation from the pure elements is 0.067 eV/atom. As for the space-group type: P4/mmm. The volume comes out at 15.0 A^3/atom. The calculation puts the total energy at -32.62 eV per formula unit.

Geometry as extended XYZ:
```
4
Lattice="4.060 0.000 0.000 0.000 3.840 0.000 0.000 0.000 3.840" Properties=species:S:1:pos:R:3 pbc="T T T"
Sc 2.030 1.920 0.000
Cu 2.030 0.000 1.920
Os 0.000 0.000 0.000
Os 0.000 1.920 1.920
```